No. 1
The following is a DFT calculation (PBE-GGA) of a geometry-optimized HfMgNi2Bi2 structure.

Output
M_tot: 0.00 μB per cell
Total DFT energy (no corrections): -5.4566 eV per atom

Cell lengths 6.236, 6.236, 7.642 Å; angles 65.92, 65.92, 90.00 degrees
Sites, in units of the cell vectors:
Ni 0.390 0.875 0.750
Ni 0.625 0.610 0.250
Ni 0.125 0.140 0.250
Ni 0.860 0.375 0.750
Bi 0.245 0.245 0.510
Bi 0.755 0.755 0.490
Bi 0.005 0.505 0.990
Bi 0.495 0.995 0.010
Mg 0.250 0.750 0.500
Mg 0.000 0.000 0.000
Hf 0.750 0.250 0.500
Hf 0.500 0.500 0.000

---

No. 2
The following is a DFT calculation (PBE-GGA) of a geometry-optimized Tc2B structure.

Output
M_tot: 10.39 μB per cell
Energy above the lowest structure with this stoichiometry: 0.975 eV/atom

Cell lengths 6.548, 6.548, 6.548 Å; angles 60.00, 60.00, 60.00 degrees
Each line ends with the local moment (μB).
Sites, in units of the cell vectors:
Tc 0.375 0.375 0.875  2.20
Tc 0.875 0.375 0.375  2.21
Tc 0.375 0.875 0.375  2.19
Tc 0.375 0.375 0.375  2.20
B 0.250 0.250 0.250  -0.13
B 0.500 0.500 0.500  -0.13

---

No. 3
The following is a DFT calculation (PBE-GGA) of a geometry-optimized CdFeHgGe structure.

Output
M_tot: 2.72 μB per cell
Energy above the lowest structure with this stoichiometry: 0.000 eV/atom

Cell lengths 4.755, 4.755, 4.755 Å; angles 60.00, 60.00, 60.00 degrees
Sites, in units of the cell vectors:
Fe 0.750 0.750 0.750
Hg 0.500 0.500 0.500
Cd 0.250 0.250 0.250
Ge 0.000 0.000 0.000

---

No. 4
The following is a DFT calculation (PBE-GGA) of a geometry-optimized Zr2AlBi2 structure.

Output
M_tot: 0.02 μB per cell
Total DFT energy (no corrections): -5.4736 eV per atom

Cell lengths 7.464, 7.464, 7.464 Å; angles 146.08, 146.08, 48.72 degrees
Sites, in units of the cell vectors:
Zr 0.595 0.595 0.000
Zr 0.405 0.405 0.000
Al 0.000 0.000 0.000
Bi 0.250 0.750 0.500
Bi 0.750 0.250 0.500